# TiMoW3

A geometry-optimized TiMoW3 structure (PBE, the Alexandria database).

a b c (Å): 5.2471 8.6553 7.6223
angles (deg): 90.00 90.00 90.00
With the nearest neighbours (Å) after each atom.
Space group Pnma (No. 62)
Unique sites:
Ti: 0.0000 0.0000 0.0000 (multiplicity 4)  2 Mo 2.60, 4 W 2.60-2.66
Mo: 0.2473 0.2500 0.0800 (multiplicity 4)  2 Ti 2.60, 3 W 2.60-2.76
W: 0.0532 0.0247 0.3378 (multiplicity 8)  3 W 2.57-2.83, 2 Ti 2.60-2.66, 1 Mo 2.60
W: 0.2105 0.2500 0.7194 (multiplicity 4)  6 W 2.66-2.83, 1 Mo 2.76

volume: 17.3 Å³ per atom
DFT formation energy: 518.6 meV/atom
spin magnetization: 0.00 μB per formula unit